# 1
This record from Alexandria via LeMat-Bulk describes an optimized crystal structure of Ag2PbF8. The functional is PBE.

The formation energy from raw total energies is -1.43 eV/atom.

It has space group C2/c (No. 15), with a = 10.815 Å, b = 9.130 Å, c = 7.961 Å, α = 90.00°, β = 99.13° and γ = 90.00°. Symmetry generates all atoms from Ag at (0.162, 0.016, 0.039), Pb at (0.000, 0.325, 0.250), F at (0.104, 0.199, 0.456), F at (0.109, 0.492, 0.377), F at (0.147, 0.244, 0.120) and F at (0.152, 0.053, 0.783).



# 2
This record from Alexandria via LeMat-Bulk describes an optimized crystal structure of TaZnTe2. The functional is PBE.

The formation energy from raw total energies is 0.38 eV/atom.

It has space group P4/mmm (No. 123), with a = 4.946 Å, b = 4.946 Å, c = 3.486 Å, α = 90.00°, β = 90.00° and γ = 90.00°. Symmetry generates all atoms from Ta at (0.000, 0.000, 0.000), Zn at (0.500, 0.500, 0.000) and Te at (0.000, 0.500, 0.500).



# 3
This record from Alexandria via LeMat-Bulk describes an optimized crystal structure of V2CoCuC. The functional is PBE.

For the calculated formation energy, the calculation gives -0.01 eV/atom.

It has space group P4/mmm (No. 123), with a = 3.955 Å, b = 3.955 Å, c = 3.688 Å, α = 90.00°, β = 90.00° and γ = 90.00°. Symmetry generates all atoms from V at (0.000, 0.500, 0.000), Co at (0.000, 0.000, 0.500), Cu at (0.500, 0.500, 0.500) and C at (0.000, 0.000, 0.000).



Number 1: M_tot 0.0 μB per cell, raw total energy -160.49 eV/cell. Number 2: M_tot 0.0 μB per cell, raw total energy -17.88 eV/cell. Number 3: M_tot 0.0 μB per cell, raw total energy -38.69 eV/cell.